No. 1
Density functional theory data (PBE) for an optimized crystal structure of TlInGa.

Cell lengths 3.4138, 6.8101, 7.0866 Å; angles 102.97, 90.17, 104.35 degrees
With the nearest neighbours (Å) after each atom.
Fractional positions:
Tl 0.1467 0.2848 0.0651  4 Ga 3.21-3.31, 2 Tl 3.41, 3 In 3.45-3.49
Tl 0.8533 0.7152 0.9349  4 Ga 3.21-3.31, 2 Tl 3.41, 3 In 3.45-3.49
In 0.1663 0.3379 0.5927  4 Ga 3.08-3.16, 4 In 3.23-3.41, 1 Tl 3.45
In 0.8337 0.6621 0.4073  4 Ga 3.08-3.16, 4 In 3.23-3.41, 1 Tl 3.45
Ga 0.4968 0.9935 0.7022  1 Ga 2.89, 4 In 3.08-3.16, 1 Tl 3.21
Ga 0.5032 0.0065 0.2978  1 Ga 2.89, 4 In 3.08-3.16, 1 Tl 3.21

Properties
ΔE to the lowest computed polymorph = 0.040 eV/atom

---

No. 2
Density functional theory data (PBE) for an optimized crystal structure of TlIn10Ga2.

Cell lengths 10.7259, 8.2214, 8.1517 Å; angles 81.85, 49.36, 48.79 degrees
With the nearest neighbours (Å) after each atom.
Fractional positions:
Tl 0.0000 0.0000 0.0000  16 In 3.77-4.08, 4 Ga 4.11
In 0.0000 0.0000 0.5000  10 In 3.08-3.39
In 0.0119 0.3510 0.6490  2 Ga 3.17, 6 In 3.20-3.43
In 0.2884 0.4936 0.5064  2 Ga 3.07, 7 In 3.10-3.43
In 0.3510 0.0119 0.9881  2 Ga 3.17, 6 In 3.20-3.43
In 0.4936 0.2884 0.7116  2 Ga 3.07, 7 In 3.10-3.43
In 0.5000 0.5000 0.0000  10 In 3.08-3.39
In 0.5064 0.7116 0.2884  2 Ga 3.07, 7 In 3.10-3.43
In 0.6490 0.9881 0.0119  2 Ga 3.17, 6 In 3.20-3.43
In 0.7116 0.5064 0.4936  2 Ga 3.07, 7 In 3.10-3.43
In 0.9881 0.6490 0.3510  2 Ga 3.17, 6 In 3.20-3.43
Ga 0.0000 0.5000 0.0000  8 In 3.07-3.17, 2 Ga 3.08
Ga 0.5000 0.0000 0.5000  8 In 3.07-3.17, 2 Ga 3.08

---

No. 3
Density functional theory data (PBE) for an optimized crystal structure of TlIn8Ga4.

Cell lengths 7.9835, 7.9835, 7.9835 Å; angles 98.56, 98.56, 134.62 degrees
With the nearest neighbours (Å) after each atom.
Fractional positions:
Tl 0.0000 0.0000 0.0000  12 In 3.59-3.82, 8 Ga 3.99
In 0.0000 0.3449 0.3449  4 Ga 3.18, 5 In 3.23-3.37
In 0.0000 0.6551 0.6551  4 Ga 3.18, 5 In 3.23-3.37
In 0.2837 0.5000 0.7837  4 Ga 3.05, 6 In 3.19-3.37
In 0.3449 0.0000 0.3449  4 Ga 3.18, 5 In 3.23-3.37
In 0.5000 0.2837 0.7837  4 Ga 3.05, 6 In 3.19-3.37
In 0.5000 0.7163 0.2163  4 Ga 3.05, 6 In 3.19-3.37
In 0.6551 0.0000 0.6551  4 Ga 3.18, 5 In 3.23-3.37
In 0.7163 0.5000 0.2163  4 Ga 3.05, 6 In 3.19-3.37
Ga 0.0000 0.0000 0.5000  8 In 3.05-3.18, 2 Ga 3.08
Ga 0.0000 0.5000 0.0000  8 In 3.05-3.18, 2 Ga 3.08
Ga 0.5000 0.0000 0.0000  8 In 3.05-3.18, 2 Ga 3.08
Ga 0.5000 0.5000 0.5000  8 In 3.05-3.18, 2 Ga 3.08

---

Sequential total magnetic moment output: 0.000; 0.000; 0.000 μB/cell
Sequential energy of formation output: 0.0581; 0.0521; 0.0459 eV per atom